## Ba4HPdI2 (PBE-GGA)

Data for Ba4HPdI2 after structural relaxation.

## Properties
Final energy: -3.30 eV per atom

a = 7.7710 Å, b = 4.5693 Å, c = 9.1378 Å
α = 90.00°, β = 106.79°, γ = 90.00°
Positions (direct):
Ba  0.2311  0.0000  0.1982
Ba  0.2596  0.5000  0.8000
Ba  0.7404  0.5000  0.2000
Ba  0.7689  0.0000  0.8018
H  0.0000  0.5000  0.0000
Pd  0.5000  0.0000  0.0000
I  0.0000  0.0000  0.5000
I  0.5000  0.5000  0.5000